# 1
Here is crystalline YAsBr2 at its relaxed geometry from Alexandria via LeMat-Bulk. Energies are from PBE-GGA.

```
YAsBr2
1.0
-0.360 1.998 3.624
-4.035 -0.972 0.135
1.775 -6.816 3.935
Y As Br
1 1 2
direct
0.000 0.000 0.620
0.500 0.500 0.622
0.000 0.000 0.941
0.500 0.500 0.316
```

crystal system = tetragonal
final energy = -4.635 eV per atom
E_form (uncorrected) = -98.5 kJ/mol of atoms

# 2
Here is crystalline PrHoIn2Te4 at its relaxed geometry from Alexandria via LeMat-Bulk. Energies are from PBE-GGA.

```
PrHoIn2Te4
1.0
-0.752 0.644 -4.361
4.860 -6.734 -1.833
-4.599 -6.251 -0.131
Pr Ho In Te
1 1 2 4
direct
0.500 0.500 0.000
0.000 0.500 0.500
0.000 0.000 0.000
0.500 0.000 0.500
0.000 0.726 0.748
0.000 0.274 0.252
0.500 0.720 0.269
0.500 0.280 0.731
```

crystal system = monoclinic
final energy = -4.400 eV per atom
E_form (uncorrected) = -94.0 kJ/mol of atoms

# 3
Here is crystalline In3Pd5 at its relaxed geometry from Alexandria via LeMat-Bulk. Energies are from PBE-GGA.

```
In3Pd5
1.0
-1.833 2.704 -2.702
-4.569 -3.459 -0.361
-4.800 5.433 8.695
In Pd
6 10
direct
0.500 0.319 0.858
0.500 0.819 0.642
0.000 0.500 0.500
0.000 0.000 0.000
0.500 0.681 0.142
0.500 0.181 0.358
0.500 0.703 0.390
0.500 0.297 0.610
0.000 0.064 0.756
0.500 0.797 0.890
0.000 0.436 0.256
0.000 0.936 0.244
0.000 0.564 0.744
0.000 0.500 0.000
0.000 0.000 0.500
0.500 0.203 0.110
```

crystal system = orthorhombic
DFT formation energy = -0.517 eV per atom
final energy = -4.790 eV per atom